Record 1
TmCuSnSeS2 PBE-GGA optimized geometry; total energy = -4.989 eV/atom; total moment = 0.0 Bohr magnetons per cell; V = 262.6 Å³/cell
1.0
1.9339 -6.5895 0.0000
1.9339 6.5895 0.0000
0.0000 0.0000 10.3032
Tm Cu Sn Se S
2 2 2 2 4
Cartesian
0.0000 0.0000 0.0000 Tm
0.0000 0.0000 5.1516 Tm
1.9339 0.4424 7.7274 Cu
1.9339 -0.4424 2.5758 Cu
1.9339 3.5747 2.5758 Sn
1.9339 -3.5747 7.7274 Sn
1.9339 5.4243 7.7274 Se
1.9339 -5.4243 2.5758 Se
1.9339 1.7774 5.8399 S
1.9339 1.7774 9.6149 S
1.9339 -1.7774 0.6883 S
1.9339 -1.7774 4.4633 S


Record 2
PrSnPO PBE-GGA optimized geometry; total moment = 0.0 Bohr magnetons per cell; distance to the lowest polymorph of the same formula = 23.4 kJ per mole of atoms; V = 172.5 Å³/cell
1.0
5.7999 0.0000 0.0000
0.0000 5.7999 0.0000
0.0000 0.0000 5.1273
Pr Sn P O
2 2 2 2
Cartesian
1.4500 4.3500 0.0000 Pr
4.3500 1.4500 0.0000 Pr
1.4500 1.4500 2.5253 Sn
4.3500 4.3500 2.6020 Sn
1.4500 1.4500 5.0806 P
4.3500 4.3500 0.0467 P
1.4500 4.3500 2.5636 O
4.3500 1.4500 2.5636 O


Record 3
DyTlSnS3 PBE-GGA optimized geometry; total energy = -4.933 eV/atom; total moment = 0.0 Bohr magnetons per cell; V = 362.7 Å³/cell
1.0
1.9909 -8.4053 0.0000
1.9909 8.4053 0.0000
0.0000 0.0000 10.8364
Dy Tl Sn S
2 2 2 6
Cartesian
0.0000 0.0000 0.0000 Dy
0.0000 0.0000 5.4182 Dy
1.9909 3.2228 8.1273 Tl
1.9909 -3.2228 2.7091 Tl
1.9909 2.1878 2.7091 Sn
1.9909 -2.1878 8.1273 Sn
1.9909 7.9665 8.1273 S
1.9909 1.8648 5.5172 S
1.9909 1.8648 10.7374 S
1.9909 -1.8648 0.0990 S
1.9909 -1.8648 5.3192 S
1.9909 -7.9665 2.7091 S


Record 4
BaSrCuAs2 PBE-GGA optimized geometry; total energy = -4.119 eV/atom; V = 285.2 Å³/cell
1.0
2.2071 -8.4634 0.0000
2.2071 8.4634 0.0000
0.0000 0.0000 7.6332
Ba Sr Cu As
2 2 2 4
Cartesian
2.2071 4.8682 3.8166 Ba
2.2071 -4.8682 0.0000 Ba
2.2071 7.9902 1.4393 Sr
2.2071 -7.9902 5.2559 Sr
2.2071 1.5181 2.4842 Cu
2.2071 -1.5181 6.3008 Cu
2.2071 5.9143 6.8477 As
2.2071 1.0113 7.4976 As
2.2071 -1.0113 3.6810 As
2.2071 -5.9143 3.0312 As


Record 5
GdErZn2Sn2 PBE-GGA optimized geometry; total moment = 0.0 Bohr magnetons per cell; distance to the lowest polymorph of the same formula = 0.8 kJ per mole of atoms; V = 278.7 Å³/cell
1.0
4.5130 0.0000 0.0000
-2.2565 3.9083 0.0000
0.0000 0.0000 15.8033
Gd Er Zn Sn
2 2 4 4
Cartesian
0.0000 0.0000 3.9508 Gd
0.0000 0.0000 11.8525 Gd
0.0000 0.0000 0.0000 Er
0.0000 0.0000 7.9016 Er
0.0000 2.6056 2.5153 Zn
0.0000 2.6056 5.3863 Zn
2.2565 1.3028 10.4170 Zn
2.2565 1.3028 13.2880 Zn
0.0000 2.6056 9.6664 Sn
0.0000 2.6056 14.0386 Sn
2.2565 1.3028 1.7647 Sn
2.2565 1.3028 6.1369 Sn


Record 6
Nb PBE-GGA optimized geometry; total moment = 0.0 Bohr magnetons per cell; distance to the lowest polymorph of the same formula = 31.1 kJ per mole of atoms; V = 75.5 Å³/cell
1.0
4.2264 0.0000 0.0000
0.0000 4.2264 0.0000
0.0000 0.0000 4.2264
Nb
4
Cartesian
0.0000 0.0000 0.0000 Nb
0.0000 2.1132 2.1132 Nb
2.1132 0.0000 2.1132 Nb
2.1132 2.1132 0.0000 Nb


Record 7
MgCdTeO PBE-GGA optimized geometry; distance to the lowest polymorph of the same formula = 4.6 kJ per mole of atoms; V = 168.7 Å³/cell
1.0
4.0373 0.0000 0.0000
0.0000 4.0373 0.0000
0.0000 0.0000 10.3476
Mg Cd Te O
2 2 2 2
Cartesian
1.0093 1.0093 0.0477 Mg
3.0279 3.0279 10.2999 Mg
1.0093 1.0093 6.2792 Cd
3.0279 3.0279 4.0684 Cd
1.0093 1.0093 3.3017 Te
3.0279 3.0279 7.0459 Te
1.0093 3.0279 0.0000 O
3.0279 1.0093 0.0000 O


Record 8
Gd3Si2Cl5O6 PBE-GGA optimized geometry; total energy = -6.763 eV/atom; total moment = 0.0 Bohr magnetons per cell; V = 631.2 Å³/cell
1.0
5.3210 -5.2032 0.0000
5.3210 5.2032 0.0000
-2.6759 0.0000 11.3991
Gd Si Cl O
6 4 10 12
Cartesian
1.3226 2.6016 5.6995 Gd
1.3237 2.6119 9.4877 Gd
6.6425 2.6119 1.9114 Gd
1.3226 -2.6016 5.6995 Gd
1.3237 -2.6119 9.4877 Gd
6.6425 -2.6119 1.9114 Gd
3.9830 3.6860 4.0481 Si
3.9831 3.6860 7.3510 Si
3.9830 -3.6860 4.0481 Si
3.9831 -3.6860 7.3510 Si
3.9834 2.9421 0.9071 Cl
1.9767 0.0000 1.8520 Cl
2.0392 0.0000 5.7284 Cl
3.9827 2.9421 10.4920 Cl
1.7726 0.0000 9.8007 Cl
6.1935 0.0000 1.5984 Cl
3.9834 -2.9421 0.9071 Cl
5.9269 0.0000 5.6707 Cl
5.9894 0.0000 9.5471 Cl
3.9827 -2.9421 10.4920 Cl
2.5882 2.9247 3.7298 O
-1.3470 0.0000 7.9349 O
2.5916 2.9186 7.6685 O
3.9831 3.7291 5.6995 O
5.3746 2.9186 3.7306 O
5.3779 2.9247 7.6693 O
2.5882 -2.9247 3.7298 O
2.5916 -2.9186 7.6685 O
3.9831 -3.7291 5.6995 O
5.3746 -2.9186 3.7306 O
9.3131 0.0000 3.4642 O
5.3779 -2.9247 7.6693 O


Record 9
CuBIrAu PBE-GGA optimized geometry; total moment = 0.0 Bohr magnetons per cell; distance to the lowest polymorph of the same formula = 0.0 kJ per mole of atoms; V = 213.8 Å³/cell
1.0
5.9792 0.0000 0.0000
0.0000 5.9792 0.0000
0.0000 0.0000 5.9792
Cu B Ir Au
4 4 4 4
Cartesian
0.0000 0.0000 0.0000 Cu
0.0000 2.9896 2.9896 Cu
2.9896 0.0000 2.9896 Cu
2.9896 2.9896 0.0000 Cu
1.4948 1.4948 4.4844 B
1.4948 4.4844 1.4948 B
4.4844 1.4948 1.4948 B
4.4844 4.4844 4.4844 B
0.0000 0.0000 2.9896 Ir
0.0000 2.9896 0.0000 Ir
2.9896 0.0000 0.0000 Ir
2.9896 2.9896 2.9896 Ir
1.4948 1.4948 1.4948 Au
1.4948 4.4844 4.4844 Au
4.4844 1.4948 4.4844 Au
4.4844 4.4844 1.4948 Au


Record 10
LaCuNiGe PBE-GGA optimized geometry; total moment = 0.0 Bohr magnetons per cell; distance to the lowest polymorph of the same formula = 11.5 kJ per mole of atoms; V = 297.2 Å³/cell
1.0
6.6732 0.0000 0.0000
0.0000 6.6732 0.0000
0.0000 0.0000 6.6732
La Cu Ni Ge
4 4 4 4
Cartesian
0.0000 0.0000 0.0000 La
0.0000 3.3366 3.3366 La
3.3366 0.0000 3.3366 La
3.3366 3.3366 0.0000 La
1.6683 1.6683 1.6683 Cu
1.6683 5.0049 5.0049 Cu
5.0049 1.6683 5.0049 Cu
5.0049 5.0049 1.6683 Cu
0.0000 0.0000 3.3366 Ni
0.0000 3.3366 0.0000 Ni
3.3366 0.0000 0.0000 Ni
3.3366 3.3366 3.3366 Ni
1.6683 1.6683 5.0049 Ge
1.6683 5.0049 1.6683 Ge
5.0049 1.6683 1.6683 Ge
5.0049 5.0049 5.0049 Ge


Record 11
BeAlCoSi PBE-GGA optimized geometry; total moment = 0.0 Bohr magnetons per cell; distance to the lowest polymorph of the same formula = 0.0 kJ per mole of atoms; V = 173.8 Å³/cell
1.0
5.5806 0.0000 0.0000
0.0000 5.5806 0.0000
0.0000 0.0000 5.5806
Be Al Co Si
4 4 4 4
Cartesian
0.0000 0.0000 0.0000 Be
0.0000 2.7903 2.7903 Be
2.7903 0.0000 2.7903 Be
2.7903 2.7903 0.0000 Be
1.3952 1.3952 4.1855 Al
1.3952 4.1855 1.3952 Al
4.1855 1.3952 1.3952 Al
4.1855 4.1855 4.1855 Al
0.0000 0.0000 2.7903 Co
0.0000 2.7903 0.0000 Co
2.7903 0.0000 0.0000 Co
2.7903 2.7903 2.7903 Co
1.3952 1.3952 1.3952 Si
1.3952 4.1855 4.1855 Si
4.1855 1.3952 4.1855 Si
4.1855 4.1855 1.3952 Si


Record 12
NaZn2In2 PBE-GGA optimized geometry; total energy = -1.881 eV/atom; V = 235.8 Å³/cell
1.0
4.4564 0.0000 0.0000
0.0000 4.4564 0.0000
0.0000 0.0000 11.8749
Na Zn In
2 4 4
Cartesian
0.0000 0.0000 0.0000 Na
2.2282 2.2282 5.9374 Na
0.0000 0.0000 4.7245 Zn
0.0000 0.0000 7.1504 Zn
2.2282 2.2282 1.2129 Zn
2.2282 2.2282 10.6620 Zn
0.0000 2.2282 2.9687 In
0.0000 2.2282 8.9062 In
2.2282 0.0000 2.9687 In
2.2282 0.0000 8.9062 In


Record 13
CoCuNiTe3 PBE-GGA optimized geometry; total energy = -4.389 eV/atom; total moment = 0.2 Bohr magnetons per cell; V = 260.3 Å³/cell
1.0
7.4560 0.0000 0.0000
0.0000 3.6401 0.0000
-2.6773 0.0000 9.5900
Co Cu Ni Te
2 2 2 6
Cartesian
1.0726 0.9100 1.9337 Co
3.7062 2.7301 7.6563 Co
1.8812 2.7301 3.9943 Cu
2.8976 0.9100 5.5957 Cu
-2.1289 0.9100 8.9174 Ni
6.9076 2.7301 0.6726 Ni
-0.4881 2.7301 3.0963 Te
2.0126 2.7301 0.2694 Te
1.3494 2.7301 6.5848 Te
3.4293 0.9100 3.0052 Te
2.7661 0.9100 9.3206 Te
5.2668 0.9100 6.4937 Te


Record 14
LuCdFeAs PBE-GGA optimized geometry; total moment = 7.8 Bohr magnetons per cell; distance to the lowest polymorph of the same formula = 21.9 kJ per mole of atoms; V = 307.1 Å³/cell
1.0
6.7466 0.0000 0.0000
0.0000 6.7466 0.0000
0.0000 0.0000 6.7466
Lu Cd Fe As
4 4 4 4
Cartesian
0.0000 0.0000 0.0000 Lu
0.0000 3.3733 3.3733 Lu
3.3733 0.0000 3.3733 Lu
3.3733 3.3733 0.0000 Lu
1.6866 1.6866 1.6866 Cd
1.6866 5.0599 5.0599 Cd
5.0599 1.6866 5.0599 Cd
5.0599 5.0599 1.6866 Cd
1.6866 1.6866 5.0599 Fe
1.6866 5.0599 1.6866 Fe
5.0599 1.6866 1.6866 Fe
5.0599 5.0599 5.0599 Fe
0.0000 0.0000 3.3733 As
0.0000 3.3733 0.0000 As
3.3733 0.0000 0.0000 As
3.3733 3.3733 3.3733 As


Record 15
BaHoNb PBE-GGA optimized geometry; total moment = 9.3 Bohr magnetons per cell; distance to the lowest polymorph of the same formula = 46.8 kJ per mole of atoms; V = 396.6 Å³/cell
1.0
7.3471 0.0000 0.0000
0.0000 7.3471 0.0000
0.0000 0.0000 7.3471
Ba Ho Nb
4 4 4
Cartesian
0.0000 0.0000 0.0000 Ba
0.0000 3.6735 3.6735 Ba
3.6735 0.0000 3.6735 Ba
3.6735 3.6735 0.0000 Ba
1.8368 1.8368 5.5103 Ho
1.8368 5.5103 1.8368 Ho
5.5103 1.8368 1.8368 Ho
5.5103 5.5103 5.5103 Ho
1.8368 1.8368 1.8368 Nb
1.8368 5.5103 5.5103 Nb
5.5103 1.8368 5.5103 Nb
5.5103 5.5103 1.8368 Nb


Record 16
Sr2LuGe PBE-GGA optimized geometry; total energy = -3.021 eV/atom; total moment = 0.0 Bohr magnetons per cell; V = 503.4 Å³/cell
1.0
7.9548 0.0000 0.0000
0.0000 7.9548 0.0000
0.0000 0.0000 7.9548
Sr Lu Ge
8 4 4
Cartesian
0.0000 0.0000 0.0000 Sr
0.0000 3.9774 3.9774 Sr
1.9887 1.9887 1.9887 Sr
1.9887 5.9661 5.9661 Sr
3.9774 0.0000 3.9774 Sr
3.9774 3.9774 0.0000 Sr
5.9661 1.9887 5.9661 Sr
5.9661 5.9661 1.9887 Sr
1.9887 1.9887 5.9661 Lu
1.9887 5.9661 1.9887 Lu
5.9661 1.9887 1.9887 Lu
5.9661 5.9661 5.9661 Lu
0.0000 0.0000 3.9774 Ge
0.0000 3.9774 0.0000 Ge
3.9774 0.0000 0.0000 Ge
3.9774 3.9774 3.9774 Ge


Record 17
LaPr2Cd3PdAu2 PBE-GGA optimized geometry; total energy = -3.879 eV/atom; total moment = 0.0 Bohr magnetons per cell; V = 221.6 Å³/cell
1.0
4.0603 0.0000 0.0000
0.0000 6.8843 3.9645
0.0000 -6.8843 3.9645
La Pr Cd Pd Au
1 2 3 1 2
Cartesian
0.0000 0.0000 0.0000 La
0.0000 -2.7690 3.1332 Pr
0.0000 2.7690 3.1332 Pr
2.0301 0.0000 2.7864 Cd
2.0301 -1.7301 5.7103 Cd
2.0301 1.7301 5.7103 Cd
0.0000 0.0000 4.7591 Pd
2.0301 -4.5902 4.7362 Au
2.0301 4.5902 4.7362 Au


Record 18
BaLiPa PBE-GGA optimized geometry; total moment = 4.8 Bohr magnetons per cell; distance to the lowest polymorph of the same formula = 0.0 kJ per mole of atoms; V = 415.6 Å³/cell
1.0
7.4627 0.0000 0.0000
0.0000 7.4627 0.0000
0.0000 0.0000 7.4627
Ba Li Pa
4 4 4
Cartesian
0.0000 0.0000 0.0000 Ba
0.0000 3.7313 3.7313 Ba
3.7313 0.0000 3.7313 Ba
3.7313 3.7313 0.0000 Ba
0.0000 0.0000 3.7313 Li
0.0000 3.7313 0.0000 Li
3.7313 0.0000 0.0000 Li
3.7313 3.7313 3.7313 Li
1.8657 1.8657 1.8657 Pa
1.8657 5.5970 5.5970 Pa
5.5970 1.8657 5.5970 Pa
5.5970 5.5970 1.8657 Pa


Record 19
NdYGe2Ir PBE-GGA optimized geometry; total energy = -6.751 eV/atom; total moment = 0.0 Bohr magnetons per cell; V = 217.6 Å³/cell
1.0
5.3550 -2.1777 0.0000
5.3550 2.1777 0.0000
-4.7495 0.0000 9.3288
Nd Y Ge Ir
2 2 4 2
Cartesian
1.5003 0.0000 1.1003 Nd
4.4602 0.0000 8.2285 Nd
-1.4699 0.0000 3.1021 Y
7.4303 0.0000 6.2268 Y
1.6457 0.0000 4.1787 Ge
4.6224 0.0000 1.1194 Ge
1.3380 0.0000 8.2095 Ge
4.3148 0.0000 5.1501 Ge
-0.2453 0.0000 6.1487 Ir
6.2058 0.0000 3.1802 Ir


Record 20
RbPrSnSe3 PBE-GGA optimized geometry; total moment = 0.0 Bohr magnetons per cell; distance to the lowest polymorph of the same formula = 11.3 kJ per mole of atoms; V = 436.9 Å³/cell
1.0
2.1474 -8.3162 0.0000
2.1474 8.3162 0.0000
0.0000 0.0000 12.2323
Rb Pr Sn Se
2 2 2 6
Cartesian
2.1474 5.2021 9.1742 Rb
2.1474 -5.2021 3.0581 Rb
2.1474 0.0000 0.0000 Pr
2.1474 0.0000 6.1161 Pr
2.1474 6.4965 3.0581 Sn
2.1474 -6.4965 9.1742 Sn
2.1474 6.2870 0.1572 Se
2.1474 6.2870 5.9590 Se
2.1474 0.0218 3.0581 Se
2.1474 -0.0218 9.1742 Se
2.1474 -6.2870 6.2733 Se
2.1474 -6.2870 12.0751 Se